## Cr2RuPbO (PBE+U)

Data for an optimized crystal structure of Cr2RuPbO.

Geometry as POSCAR:
```
Cr2RuPbO
1.0
4.7452 0.0000 0.0000
0.0000 4.7452 0.0000
0.0000 0.0000 5.2232
Cr Ru Pb O
2 1 1 1
Direct
0.0000 0.5000 0.0000
0.5000 0.0000 0.0000
0.0000 0.0000 0.0000
0.0000 0.0000 0.5000
0.5000 0.5000 0.5000
```

Computed properties:
Crystal system ... tetragonal
Total energy ... -27.7 eV for the cell shown